{"formula": "Pr4Ga12Fe", "functional": "PBE", "state": "relaxed", "cell": [[-5.8069, 3.7407, -3.2384], [-2.0680, -7.2153, 1.3645], [1.8644, 3.3971, 6.5714]], "species": ["Pr", "Pr", "Pr", "Pr", "Ga", "Ga", "Ga", "Ga", "Ga", "Ga", "Ga", "Ga", "Ga", "Ga", "Ga", "Ga", "Fe"], "fractional_positions": [[0.0000, 0.0000, 0.5000], [0.5000, 0.0000, 0.0000], [0.5000, 0.5000, 0.5000], [0.0000, 0.5000, 0.0000], [0.0000, 0.2857, 0.2857], [0.0000, 0.7143, 0.7143], [0.7143, 0.7143, 0.0000], [0.2857, 0.2857, 0.0000], [0.2857, 0.0000, 0.2857], [0.7143, 0.0000, 0.7143], [0.5000, 0.2500, 0.7500], [0.5000, 0.7500, 0.2500], [0.7500, 0.2500, 0.5000], [0.2500, 0.7500, 0.5000], [0.7500, 0.5000, 0.2500], [0.2500, 0.5000, 0.7500], [0.0000, 0.0000, 0.0000]], "delta_e_f_ev_per_atom": -0.53, "magmom_total_mub_per_cell": 1.940}

=====

{"formula": "PrGa8Fe4", "functional": "PBE", "state": "relaxed", "cell": [[4.7124, 0.0000, 1.8942], [2.3562, 6.2292, 0.9471], [0.0330, 0.0000, 6.7269]], "species": ["Pr", "Ga", "Ga", "Ga", "Ga", "Ga", "Ga", "Ga", "Ga", "Fe", "Fe", "Fe", "Fe"], "fractional_positions": [[0.0000, 0.0000, 0.0000], [0.0000, 0.3424, 0.6576], [0.0000, 0.6576, 0.3424], [0.3424, 0.6576, 0.6576], [0.6576, 0.3424, 0.3424], [0.5000, 0.7735, 0.2265], [0.5000, 0.2265, 0.7735], [0.2735, 0.2265, 0.2265], [0.7265, 0.7735, 0.7735], [0.0000, 0.0000, 0.5000], [0.5000, 0.0000, 0.5000], [0.0000, 0.5000, 0.0000], [0.5000, 0.5000, 0.0000]], "delta_e_f_ev_per_atom": -0.27, "magmom_total_mub_per_cell": 6.486}

=====

{"formula": "PrGa6Fe6", "functional": "PBE", "state": "relaxed", "cell": [[4.6905, 0.0000, 1.8748], [2.3014, 6.1217, 1.0470], [0.0728, -0.0285, 6.6228]], "species": ["Pr", "Ga", "Ga", "Ga", "Ga", "Ga", "Ga", "Fe", "Fe", "Fe", "Fe", "Fe", "Fe"], "fractional_positions": [[0.0000, 0.0000, 0.0000], [0.3471, 0.6529, 0.6529], [0.6529, 0.3471, 0.3471], [0.0000, 0.3368, 0.6632], [0.0000, 0.6632, 0.3368], [0.3090, 0.1910, 0.1910], [0.6910, 0.8090, 0.8090], [0.0000, 0.5000, 0.0000], [0.5000, 0.5000, 0.0000], [0.0000, 0.0000, 0.5000], [0.5000, 0.0000, 0.5000], [0.5000, 0.7559, 0.2441], [0.5000, 0.2441, 0.7559]], "delta_e_f_ev_per_atom": -0.27, "magmom_total_mub_per_cell": 11.097, "de_polymorph_mev_per_atom": 0}